[1]
Entry from the Alexandria database: crystalline BaNaPt3 at its relaxed geometry (PBE).

Lattice parameters (Å, degrees): 4.9153 4.9153 4.9153 90.00 90.00 90.00
Last column: nearest neighbours and their distance in Å.
Element x y z (fractional)
Pt 0.0000 0.0000 0.5000  2 Na 2.46
Pt 0.5000 0.0000 0.0000  2 Na 2.46
Pt 0.0000 0.5000 0.0000  2 Na 2.46
Ba 0.5000 0.5000 0.5000  12 Pt 3.48
Na 0.0000 0.0000 0.0000  6 Pt 2.46

Summary:
Relative energy among the computed polymorphs   0 meV per atom
E_form   0.4553 eV per atom
D(E_F)   0.355 states/eV per atom
Mass density   10.43 g/cm3

[2]
Entry from the Alexandria database: crystalline Ba8Na2Pt3 at its relaxed geometry (PBE).

Lattice parameters (Å, degrees): 9.2341 8.0680 10.7199 106.30 115.51 90.00
Last column: nearest neighbours and their distance in Å.
Element x y z (fractional)
Ba 0.6672 0.6045 0.8184  2 Pt 3.12-3.13
Ba 0.3328 0.3955 0.1816  2 Pt 3.12-3.13
Ba 0.9071 0.1001 0.8143  3 Pt 3.17-3.21
Ba 0.1512 0.6045 0.8184  2 Pt 3.12-3.13
Ba 0.3978 0.0588 0.7956  2 Pt 3.14
Ba 0.0929 0.8999 0.1857  3 Pt 3.17-3.21
Ba 0.6022 0.9412 0.2044  2 Pt 3.14
Ba 0.8488 0.3955 0.1816  2 Pt 3.12-3.13
Na 0.2523 0.3440 0.5046  6 Ba 3.92-4.15
Na 0.7477 0.6560 0.4954  6 Ba 3.92-4.15
Pt 0.2540 0.0000 0.0000  6 Ba 3.13-3.21
Pt 0.7460 0.0000 0.0000  6 Ba 3.13-3.21
Pt 0.0000 0.5000 0.0000  6 Ba 3.12-3.17

Summary:
E_form   -0.4010 eV per atom
D(E_F)   0.677 states/eV per atom
Mass density   4.19 g/cm3

[3]
Entry from the Alexandria database: crystalline Ba2NaPt2 at its relaxed geometry (PBE).

Lattice parameters (Å, degrees): 4.8426 6.2113 6.2115 63.06 67.06 67.06
Last column: nearest neighbours and their distance in Å.
Element x y z (fractional)
Ba 0.2949 0.2051 0.7051  6 Pt 3.37-3.38, 2 Na 3.68
Ba 0.7051 0.7949 0.2949  6 Pt 3.37-3.38, 2 Na 3.68
Pt 0.0000 0.2068 0.2932  1 Pt 2.69
Pt 0.0000 0.7932 0.7068  1 Pt 2.69
Na 0.5000 0.5000 0.0000  4 Pt 3.08

Summary:
Relative energy among the computed polymorphs   0 meV per atom
E_form   -0.5403 eV per atom
D(E_F)   0.451 states/eV per atom
Mass density   7.71 g/cm3

[4]
Entry from the Alexandria database: crystalline Ba2NaPt2 at its relaxed geometry (PBE).

Lattice parameters (Å, degrees): 6.1361 6.1361 6.1990 60.34 60.34 90.00
Last column: nearest neighbours and their distance in Å.
Element x y z (fractional)
Ba 0.7500 0.2500 0.5000  4 Pt 3.19
Ba 0.2500 0.7500 0.5000  4 Pt 3.19
Pt 0.3485 0.3485 0.3031  1 Pt 2.68
Pt 0.6515 0.6515 0.6969  1 Pt 2.68
Na 0.0000 0.0000 0.0000  2 Pt 3.09

Summary:
Relative energy among the computed polymorphs   147 meV per atom
E_form   -0.3932 eV per atom
D(E_F)   0.440 states/eV per atom
Mass density   6.85 g/cm3

[5]
Entry from the Alexandria database: crystalline Ba2Na2Pt at its relaxed geometry (PBE).

Lattice parameters (Å, degrees): 8.3183 8.3183 6.7315 90.00 90.00 90.00
Last column: nearest neighbours and their distance in Å.
Element x y z (fractional)
Na 0.3493 0.1507 0.5000  1 Na 3.54, 2 Ba 3.91
Na 0.1507 0.6507 0.5000  1 Na 3.54, 2 Ba 3.91
Na 0.6507 0.8493 0.5000  1 Na 3.54, 2 Ba 3.91
Na 0.8493 0.3493 0.5000  1 Na 3.54, 2 Ba 3.91
Pt 0.5000 0.5000 0.0000  4 Ba 3.06
Pt 0.0000 0.0000 0.0000  4 Ba 3.06
Ba 0.8205 0.6795 0.0000  2 Pt 3.06
Ba 0.3205 0.8205 0.0000  2 Pt 3.06
Ba 0.1795 0.3205 0.0000  2 Pt 3.06
Ba 0.6795 0.1795 0.0000  2 Pt 3.06

Summary:
Relative energy among the computed polymorphs   190 meV per atom
E_form   -0.0683 eV per atom
D(E_F)   1.016 states/eV per atom
Mass density   3.68 g/cm3

[6]
Entry from the Alexandria database: crystalline Ba5NaPt2 at its relaxed geometry (PBE).

Lattice parameters (Å, degrees): 6.3861 8.0364 15.9407 90.00 90.00 113.41
Last column: nearest neighbours and their distance in Å.
Element x y z (fractional)
Ba 0.0540 0.1080 0.3843  2 Pt 3.10-3.14
Ba 0.3369 0.6738 0.4628  3 Pt 3.20-3.22
Ba 0.7740 0.5479 0.2500  2 Pt 3.22
Ba 0.3369 0.6738 0.0372  3 Pt 3.20-3.22
Ba 0.6631 0.3262 0.5372  3 Pt 3.20-3.22
Ba 0.6631 0.3262 0.9628  3 Pt 3.20-3.22
Ba 0.2260 0.4521 0.7500  2 Pt 3.22
Ba 0.9460 0.8920 0.6157  2 Pt 3.10-3.14
Ba 0.0540 0.1080 0.1157  2 Pt 3.10-3.14
Ba 0.9460 0.8920 0.8843  2 Pt 3.10-3.14
Na 0.4780 0.9559 0.2500  9 Ba 3.98-4.39
Na 0.5220 0.0441 0.7500  9 Ba 3.98-4.39
Pt 0.1477 0.2954 0.5613  6 Ba 3.10-3.22
Pt 0.8523 0.7046 0.0613  6 Ba 3.10-3.22
Pt 0.8523 0.7046 0.4387  6 Ba 3.10-3.22
Pt 0.1477 0.2954 0.9387  6 Ba 3.10-3.22

Summary:
E_form   -0.4686 eV per atom
D(E_F)   0.603 states/eV per atom
Mass density   4.87 g/cm3

[7]
Entry from the Alexandria database: crystalline Ba2NaPt2 at its relaxed geometry (PBE).

Lattice parameters (Å, degrees): 4.0385 4.0385 11.3826 79.78 79.78 90.00
Last column: nearest neighbours and their distance in Å.
Element x y z (fractional)
Ba 0.6427 0.6427 0.7145  4 Pt 3.11
Ba 0.3573 0.3573 0.2855  4 Pt 3.11
Pt 0.7500 0.2500 0.5000  4 Pt 2.86, 4 Ba 3.11
Pt 0.2500 0.7500 0.5000  4 Pt 2.86, 4 Ba 3.11
Na 0.0000 0.0000 0.0000  4 Na 4.04, 8 Ba 4.25

Summary:
Relative energy among the computed polymorphs   239 meV per atom
E_form   -0.3015 eV per atom
D(E_F)   0.507 states/eV per atom
Mass density   6.36 g/cm3

[8]
Entry from the Alexandria database: crystalline Ba3NaPt2 at its relaxed geometry (PBE).

Lattice parameters (Å, degrees): 8.0516 9.2343 9.2343 48.06 64.15 64.15
Last column: nearest neighbours and their distance in Å.
Element x y z (fractional)
Ba 0.5288 0.2212 0.2212  4 Pt 3.23-3.26
Ba 0.7500 0.5000 0.5000  4 Pt 3.28
Ba 0.2500 0.5000 0.5000  4 Pt 3.28
Ba 0.9712 0.7788 0.7788  4 Pt 3.23-3.26
Ba 0.0288 0.2212 0.2212  4 Pt 3.23-3.26
Ba 0.4712 0.7788 0.7788  4 Pt 3.23-3.26
Pt 0.1402 0.1555 0.5640  1 Na 3.04, 6 Ba 3.23-3.28
Pt 0.3598 0.4360 0.8445  1 Na 3.04, 6 Ba 3.23-3.28
Pt 0.6402 0.5640 0.1555  1 Na 3.04, 6 Ba 3.23-3.28
Pt 0.8598 0.8445 0.4360  1 Na 3.04, 6 Ba 3.23-3.28
Na 0.5000 0.0000 0.0000  2 Pt 3.04
Na 0.0000 0.0000 0.0000  2 Pt 3.04

Summary:
E_form   -0.5350 eV per atom
D(E_F)   0.570 states/eV per atom
Mass density   6.11 g/cm3

Look up the D(E_F) of the eighth one. 0.570 states/eV per atom

Look up the D(E_F) of the seventh one. 0.507 states/eV per atom

Look up the D(E_F) of the third one. 0.451 states/eV per atom

Repeat the third record exactly.
Entry from the Alexandria database: crystalline Ba2NaPt2 at its relaxed geometry (PBE).

Lattice parameters (Å, degrees): 4.8426 6.2113 6.2115 63.06 67.06 67.06
Last column: nearest neighbours and their distance in Å.
Element x y z (fractional)
Ba 0.2949 0.2051 0.7051  6 Pt 3.37-3.38, 2 Na 3.68
Ba 0.7051 0.7949 0.2949  6 Pt 3.37-3.38, 2 Na 3.68
Pt 0.0000 0.2068 0.2932  1 Pt 2.69
Pt 0.0000 0.7932 0.7068  1 Pt 2.69
Na 0.5000 0.5000 0.0000  4 Pt 3.08

Summary:
Relative energy among the computed polymorphs   0 meV per atom
E_form   -0.5403 eV per atom
D(E_F)   0.451 states/eV per atom
Mass density   7.71 g/cm3